[1]
Ni2AgMo | Alexandria | PBE-GGA | relaxed; space group = R-3m (166); crystal system = trigonal; energy relative to the lowest polymorph listed for this composition = 95 meV per atom
1.0
1.354 0.782 8.807
-1.354 0.782 8.807
0.000 -1.564 8.807
Ni Ag Mo
2 1 1
Direct
0.247 0.247 0.247
0.753 0.753 0.753
0.000 0.000 0.000
0.500 0.500 0.500

***

[2]
ZnFeTcW | Alexandria | PBE-GGA | relaxed; space group = F-43m (216); crystal system = cubic; E = -8.17 eV per atom
1.0
0.000 3.023 3.023
3.023 0.000 3.023
3.023 3.023 0.000
Zn Fe Tc W
1 1 1 1
Direct
0.000 0.000 0.000
0.750 0.750 0.750
0.250 0.250 0.250
0.500 0.500 0.500

***

[3]
K2LiSe | Alexandria | PBE-GGA | relaxed; space group = F-43m (216); crystal system = cubic; formation energy from raw total energies = -420 meV per atom
1.0
0.000 4.008 4.008
4.008 0.000 4.008
4.008 4.008 0.000
K Li Se
2 1 1
Direct
0.000 0.000 0.000
0.250 0.250 0.250
0.500 0.500 0.500
0.750 0.750 0.750

***

[4]
RbCaCl3 | Alexandria | PBE-GGA | relaxed; space group = I-4m2 (119); crystal system = tetragonal; formation energy from raw total energies = -1511 meV per atom
1.0
-2.820 2.820 11.992
2.820 -2.820 11.992
2.820 2.820 -11.992
Rb Ca Cl
2 2 6
Direct
0.000 0.000 0.000
0.750 0.250 0.500
0.145 0.645 0.500
0.355 0.855 0.500
0.310 0.310 0.000
0.367 0.118 0.249
0.690 0.690 0.000
0.869 0.118 0.751
0.882 0.131 0.249
0.882 0.633 0.751

***

[5]
CaDyGa | Alexandria | PBE-GGA | relaxed; space group = P3m1 (156); crystal system = trigonal; energy relative to the lowest polymorph listed for this composition = 194 meV per atom
1.0
5.044 0.000 0.000
-2.522 4.368 0.000
0.000 0.000 3.772
Ca Dy Ga
1 1 1
Direct
0.000 0.000 0.000
0.667 0.333 0.465
0.333 0.667 0.680

***

[6]
NaCd3Co | Alexandria | PBE-GGA | relaxed; space group = Pm-3m (221); crystal system = cubic; E = -2.04 eV per atom
1.0
5.012 0.000 0.000
0.000 5.012 0.000
0.000 0.000 5.012
Na Cd Co
1 3 1
Direct
0.000 0.000 0.000
0.000 0.500 0.500
0.500 0.000 0.500
0.500 0.500 0.000
0.500 0.500 0.500

***

[7]
Hf2Sb2Pd | Alexandria | PBE-GGA | relaxed; space group = P4/mbm (127); crystal system = tetragonal; energy relative to the lowest polymorph listed for this composition = 0 meV per atom; formation energy from raw total energies = -328 meV per atom
1.0
7.497 0.000 0.000
0.000 7.497 0.000
0.000 0.000 3.860
Hf Sb Pd
4 4 2
Direct
0.148 0.352 0.000
0.352 0.852 0.000
0.648 0.148 0.000
0.852 0.648 0.000
0.155 0.655 0.500
0.345 0.155 0.500
0.655 0.845 0.500
0.845 0.345 0.500
0.000 0.000 0.500
0.500 0.500 0.500

***

[8]
LiBi2Sb | Alexandria | PBE-GGA | relaxed; space group = R3m (160); crystal system = trigonal; formation energy from raw total energies = -38 meV per atom
1.0
2.370 1.368 6.492
-2.370 1.368 6.492
0.000 -2.737 6.492
Li Bi Sb
1 2 1
Direct
0.000 0.000 0.000
0.587 0.587 0.587
0.746 0.746 0.746
0.165 0.165 0.165

***

[9]
LiEuYBi | Alexandria | PBE-GGA | relaxed; space group = F-43m (216); crystal system = cubic; E = -6.01 eV per atom
1.0
0.000 3.851 3.851
3.851 0.000 3.851
3.851 3.851 0.000
Li Eu Y Bi
1 1 1 1
Direct
0.000 0.000 0.000
0.750 0.750 0.750
0.250 0.250 0.250
0.500 0.500 0.500

***

[10]
PmNd2Pt2 | Alexandria | PBE-GGA | relaxed; space group = P4/mbm (127); crystal system = tetragonal; energy relative to the lowest polymorph listed for this composition = 0 meV per atom
1.0
7.976 0.000 0.000
0.000 7.976 0.000
0.000 0.000 4.071
Pm Nd Pt
2 4 4
Direct
0.000 0.000 0.000
0.500 0.500 0.000
0.163 0.337 0.500
0.337 0.837 0.500
0.663 0.163 0.500
0.837 0.663 0.500
0.134 0.634 0.000
0.366 0.134 0.000
0.634 0.866 0.000
0.866 0.366 0.000

***

[11]
Ti2AlPt5 | Alexandria | PBE-GGA | relaxed; space group = Pbam (55); crystal system = orthorhombic; E = -7.09 eV per atom
1.0
5.491 0.000 0.000
0.000 10.967 0.000
0.000 0.000 4.089
Ti Al Pt
4 2 10
Direct
0.198 0.144 0.000
0.302 0.644 0.000
0.698 0.356 0.000
0.802 0.856 0.000
0.000 0.500 0.500
0.500 0.000 0.500
0.000 0.000 0.500
0.027 0.739 0.500
0.203 0.398 0.000
0.297 0.898 0.000
0.473 0.239 0.500
0.500 0.500 0.500
0.527 0.761 0.500
0.703 0.102 0.000
0.797 0.602 0.000
0.973 0.261 0.500

***

[12]
Pm11Ho9Tm4 | Alexandria | PBE-GGA | relaxed; space group = Cmmm (65); crystal system = orthorhombic; E = -4.59 eV per atom
1.0
8.438 -12.798 0.000
8.438 12.798 0.000
0.000 0.000 3.633
Pm Ho Tm
11 9 4
Direct
0.000 0.000 0.000
0.043 0.406 0.000
0.161 0.839 0.000
0.293 0.293 0.000
0.369 0.631 0.000
0.406 0.043 0.000
0.594 0.957 0.000
0.631 0.369 0.000
0.707 0.707 0.000
0.839 0.161 0.000
0.957 0.594 0.000
0.069 0.214 0.500
0.166 0.630 0.500
0.214 0.069 0.500
0.370 0.834 0.500
0.500 0.500 0.500
0.630 0.166 0.500
0.786 0.931 0.500
0.834 0.370 0.500
0.931 0.786 0.500
0.241 0.445 0.500
0.445 0.241 0.500
0.555 0.759 0.500
0.759 0.555 0.500